(1)
The following is a DFT calculation (SCAN) of ScAl2Fe at its PBEsol-relaxed geometry.

Results
Formation energy from the elements: -358 meV per atom
V: 14.91 Å³/atom
D(E_F): 2.482 states/eV/cell

Cell: 2.930 2.930 6.947 Å, 90.00 90.00 90.00°
Site moments in Bohr magnetons follow the coordinates.
Atoms (fractional coordinates):
Al: 0.000 0.000 0.191  0.00
Al: 0.000 0.000 0.809  0.00
Sc: 0.500 0.500 0.500  0.26
Fe: 0.500 0.500 0.000  0.04


(2)
The following is a DFT calculation (SCAN) of ScAl6Fe6 at its PBEsol-relaxed geometry.

Results
Formation energy from the elements: -449 meV per atom
V: 13.19 Å³/atom
D(E_F): 5.045 states/eV/cell

Cell: 4.888 6.407 6.407 Å, 80.80 67.58 67.58°
Site moments in Bohr magnetons follow the coordinates.
Atoms (fractional coordinates):
Fe: 0.000 0.000 0.500  2.01
Fe: 0.000 0.500 0.000  2.01
Fe: 0.500 0.500 0.000  2.01
Fe: 0.500 0.240 0.760  2.05
Fe: 0.500 0.000 0.500  2.01
Fe: 0.500 0.760 0.240  2.05
Al: 0.000 0.668 0.332  -0.05
Al: 0.683 0.817 0.817  -0.06
Al: 0.000 0.332 0.668  -0.05
Al: 0.343 0.657 0.657  -0.05
Al: 0.657 0.343 0.343  -0.05
Al: 0.317 0.183 0.183  -0.06
Sc: 0.000 0.000 0.000  -0.25


(3)
The following is a DFT calculation (SCAN) of ScAl2Fe at its PBEsol-relaxed geometry.

Results
Formation energy from the elements: -249 meV per atom
V: 15.36 Å³/atom
D(E_F): 1.881 states/eV/cell

Cell: 3.105 4.443 5.213 Å, 115.22 107.33 90.00°
Site moments in Bohr magnetons follow the coordinates.
Atoms (fractional coordinates):
Fe: 0.000 0.500 0.000  1.69
Al: 0.719 0.719 0.438  -0.01
Al: 0.281 0.281 0.562  -0.01
Sc: 0.500 0.000 0.000  -0.24


(4)
The following is a DFT calculation (SCAN) of AlFe3Se at its PBEsol-relaxed geometry.

Results
Raw formation energy: 1.0803 eV per atom
V: 16.08 Å³/atom
D(E_F): 5.341 states/eV/cell

Cell: 4.316 4.316 4.316 Å, 90.00 90.00 90.00°
Site moments in Bohr magnetons follow the coordinates.
Atoms (fractional coordinates):
Fe: 0.000 0.000 0.500  2.50
Fe: 0.500 0.000 0.000  2.50
Fe: 0.000 0.500 0.000  2.50
Se: 0.500 0.500 0.500  0.08
Al: 0.000 0.000 0.000  -0.12


(5)
The following is a DFT calculation (SCAN) of Al2FeSe at its PBEsol-relaxed geometry.

Results
Raw formation energy: -0.0115 eV per atom
V: 15.07 Å³/atom
D(E_F): 1.326 states/eV/cell

Cell: 3.037 3.037 7.749 Å, 78.70 78.70 60.00°
Site moments in Bohr magnetons follow the coordinates.
Atoms (fractional coordinates):
Al: 0.243 0.243 0.272  -0.04
Al: 0.757 0.757 0.728  -0.04
Se: 0.000 0.000 0.000  -0.03
Fe: 0.500 0.500 0.500  1.77


(6)
The following is a DFT calculation (SCAN) of Al2FeSe at its PBEsol-relaxed geometry.

Results
Raw formation energy: 0.1296 eV per atom
V: 14.16 Å³/atom
D(E_F): 1.401 states/eV/cell

Cell: 3.224 4.412 4.829 Å, 117.18 109.50 90.00°
Site moments in Bohr magnetons follow the coordinates.
Atoms (fractional coordinates):
Se: 0.000 0.500 0.000  -0.08
Al: 0.242 0.242 0.484  -0.03
Al: 0.758 0.758 0.516  -0.03
Fe: 0.500 0.000 0.000  2.15


(7)
The following is a DFT calculation (SCAN) of AlFeSe at its PBEsol-relaxed geometry.

Results
Raw formation energy: 0.1962 eV per atom
V: 14.66 Å³/atom
D(E_F): 2.366 states/eV/cell

Cell: 3.230 3.965 3.965 Å, 120.00 90.00 90.00°
Site moments in Bohr magnetons follow the coordinates.
Atoms (fractional coordinates):
Se: 0.000 0.667 0.333  0.05
Al: 0.500 0.000 0.000  -0.05
Fe: 0.000 0.333 0.667  2.27


(8)
The following is a DFT calculation (SCAN) of AlFe2Se at its PBEsol-relaxed geometry.

Results
Raw formation energy: 0.1551 eV per atom
V: 11.95 Å³/atom
E above lowest polymorph: 65 meV/atom
D(E_F): 2.334 states/eV/cell

Cell: 2.898 2.898 5.690 Å, 90.00 90.00 90.00°
Atoms (fractional coordinates):
Se: 0.500 0.500 0.000
Fe: 0.000 0.000 0.245
Fe: 0.000 0.000 0.755
Al: 0.500 0.500 0.500


Number 1: spin magnetization 0.093 μB per atom. Number 2: spin magnetization 0.845 μB per atom. Number 3: spin magnetization 0.308 μB per atom. Number 4: spin magnetization 1.439 μB per atom. Number 5: spin magnetization 0.362 μB per atom. Number 6: spin magnetization 0.453 μB per atom. Number 7: spin magnetization 0.726 μB per atom. Number 8: spin magnetization 0.001 μB per atom.